1.
Crystalline La2MgTlCu at its relaxed geometry, computed with PBE.

formation energy = -0.078 eV/atom
energy = -18.30 eV/cell
DOS at the Fermi energy = 5.51 states/eV/cell
spin magnetization = 0.00 μB per formula unit

Cell: 5.5416 5.5416 4.9545 Å, 90.00 90.00 90.00°
Last column: nearest neighbours and their distance in Å.
Fractional coordinates of all 5 atoms:
La 0.0000 0.5000 0.0000  2 Cu 2.77
La 0.5000 0.0000 0.0000  2 Cu 2.77
Mg 0.0000 0.0000 0.5000  2 Cu 2.48
Tl 0.5000 0.5000 0.5000  8 La 3.72, 4 Mg 3.92
Cu 0.0000 0.0000 0.0000  2 Mg 2.48, 4 La 2.77


2.
Crystalline CaZr2Tl at its relaxed geometry, computed with PBE.

formation energy = 0.116 eV/atom
energy = -21.00 eV/cell
DOS at the Fermi energy = 4.95 states/eV/cell
spin magnetization = 0.00 μB per formula unit
energy above the lowest structure with this stoichiometry = 153 meV/atom

Cell: 5.6515 3.2705 5.5822 Å, 84.51 90.00 90.00°
Last column: nearest neighbours and their distance in Å.
Fractional coordinates of all 4 atoms:
Zr 0.0000 0.5555 0.5177  5 Zr 3.00-3.27, 2 Tl 3.20
Zr 0.0000 0.9445 0.9823  5 Zr 3.00-3.27, 2 Tl 3.20
Tl 0.5000 0.7500 0.7500  4 Ca 3.10-3.37, 4 Zr 3.20, 2 Tl 3.27
Ca 0.5000 0.2500 0.2500  4 Tl 3.10-3.37, 2 Ca 3.27, 4 Zr 3.39


3.
Crystalline TlCoSi2Se at its relaxed geometry, computed with PBE.

energy = -15.18 eV/cell
formation energy from raw total energies = 1723.7 meV/atom
DOS at the Fermi energy = 3.58 states/eV/cell
spin magnetization = 1.98 μB per formula unit

Cell: 5.1562 5.4111 5.1562 Å, 90.00 90.00 90.00°
Last column: nearest neighbours and their distance in Å.
Fractional coordinates of all 5 atoms:
Si 0.5000 0.0000 0.0000  2 Tl 2.58
Si 0.0000 0.0000 0.5000  2 Tl 2.58
Co 0.5000 0.5000 0.5000  4 Se 3.65, 8 Si 3.74
Tl 0.0000 0.0000 0.0000  4 Si 2.58, 2 Se 2.71
Se 0.0000 0.5000 0.0000  2 Tl 2.71


4.
Crystalline UV5 at its relaxed geometry, computed with PBE.

formation energy = 0.087 eV/atom
energy = -56.36 eV/cell
DOS at the Fermi energy = 8.57 states/eV/cell
spin magnetization = 0.00 μB per formula unit

Cell: 3.0654 4.4145 6.7882 Å, 108.98 90.00 90.00°
Last column: nearest neighbours and their distance in Å.
Fractional coordinates of all 6 atoms:
V 0.0000 0.6753 0.3506  8 V 2.56-2.72
V 0.5000 0.8355 0.6709  6 V 2.56-2.69, 2 U 2.61
V 0.0000 0.3247 0.6494  8 V 2.56-2.72
V 0.5000 0.5000 0.0000  4 U 2.69, 4 V 2.72
V 0.5000 0.1645 0.3291  6 V 2.56-2.69, 2 U 2.61
U 0.0000 0.0000 0.0000  8 V 2.61-2.69


5.
Crystalline Pm2Zn4Ga3Cu at its relaxed geometry, computed with PBE.

formation energy = -0.420 eV/atom
energy = -31.97 eV/cell
DOS at the Fermi energy = 3.89 states/eV/cell
spin magnetization = 0.00 μB per formula unit

Cell: 4.2242 4.2242 10.5238 Å, 90.00 90.00 90.00°
Last column: nearest neighbours and their distance in Å.
Fractional coordinates of all 10 atoms:
Ga 0.0000 0.0000 0.5000  4 Zn 2.50
Ga 0.5000 0.0000 0.8604  5 Zn 2.45-2.57
Ga 0.0000 0.5000 0.1396  5 Zn 2.45-2.57
Pm 0.5000 0.0000 0.2528  6 Ga 3.22-3.35, 8 Zn 3.24-3.40, 2 Cu 3.35
Pm 0.0000 0.5000 0.7472  6 Ga 3.22-3.35, 8 Zn 3.24-3.40, 2 Cu 3.35
Zn 0.5000 0.5000 0.0000  4 Ga 2.57
Zn 0.0000 0.5000 0.3726  3 Ga 2.45-2.50, 2 Cu 2.50
Zn 0.0000 0.0000 0.0000  4 Ga 2.57
Zn 0.5000 0.0000 0.6274  3 Ga 2.45-2.50, 2 Cu 2.50
Cu 0.5000 0.5000 0.5000  4 Zn 2.50


6.
Crystalline Tb5Dy2ThMg at its relaxed geometry, computed with PBE.

formation energy = 0.116 eV/atom
energy = -80.66 eV/cell
DOS at the Fermi energy = 26.09 states/eV/cell
spin magnetization = 0.00 μB per formula unit

Cell: 5.4858 10.3757 10.4030 Å, 90.00 90.00 105.33°
Last column: nearest neighbours and their distance in Å.
Fractional coordinates of all 18 atoms:
Tb 0.5004 0.0007 0.2578  2 Mg 3.23-3.24, 2 Tb 3.56, 4 Dy 3.59-3.60
Tb 0.6216 0.2431 0.5085  4 Dy 3.53, 6 Tb 3.56-3.85, 1 Th 3.61
Tb 0.9864 0.9727 0.5084  2 Mg 3.20, 2 Dy 3.38-3.39
Tb 0.2853 0.5706 0.3104  1 Mg 3.13, 2 Tb 3.28, 1 Dy 3.42, 2 Th 3.45
Tb 0.4996 0.9993 0.7578  2 Mg 3.23-3.24, 2 Tb 3.56, 4 Dy 3.59-3.60
Tb 0.0136 0.0273 0.0084  2 Mg 3.20, 2 Dy 3.38-3.39
Tb 0.7140 0.4280 0.2064  1 Mg 3.14, 2 Tb 3.28, 3 Dy 3.43-3.52, 2 Th 3.44
Tb 0.2860 0.5720 0.7064  1 Mg 3.14, 2 Tb 3.28, 3 Dy 3.43-3.52, 2 Th 3.44
Tb 0.3784 0.7569 0.0085  4 Dy 3.53, 6 Tb 3.56-3.85, 1 Th 3.61
Tb 0.7147 0.4294 0.8104  1 Mg 3.13, 2 Tb 3.28, 1 Dy 3.42, 2 Th 3.45
Dy 0.8853 0.7707 0.2209  9 Tb 3.39-3.61, 1 Th 3.43
Dy 0.1145 0.2290 0.2961  9 Tb 3.38-3.61, 1 Th 3.43
Dy 0.8855 0.7710 0.7961  9 Tb 3.38-3.61, 1 Th 3.43
Dy 0.1147 0.2293 0.7209  9 Tb 3.39-3.61, 1 Th 3.43
Th 0.1981 0.3963 0.0085  2 Mg 3.42, 2 Dy 3.43, 8 Tb 3.44-3.69
Th 0.8019 0.6037 0.5085  2 Mg 3.42, 2 Dy 3.43, 8 Tb 3.44-3.69
Mg 0.5963 0.1926 0.0070  6 Tb 3.13-3.24, 2 Th 3.42
Mg 0.4037 0.8074 0.5070  6 Tb 3.13-3.24, 2 Th 3.42


7.
Crystalline Li3Ag2Hg3 at its relaxed geometry, computed with PBE.

formation energy = -0.218 eV/atom
energy = -14.09 eV/cell
DOS at the Fermi energy = 4.33 states/eV/cell
spin magnetization = 0.00 μB per formula unit
energy above the lowest structure with this stoichiometry = 32 meV/atom

Cell: 3.0402 7.5551 7.5551 Å, 120.00 90.00 90.00°
Last column: nearest neighbours and their distance in Å.
Fractional coordinates of all 8 atoms:
Hg 0.0000 0.7580 0.7580  2 Ag 2.92, 6 Li 3.02-3.14, 4 Hg 3.04-3.17
Hg 0.0000 0.0000 0.2420  2 Ag 2.92, 6 Li 3.02-3.14, 4 Hg 3.04-3.17
Hg 0.0000 0.2420 0.0000  2 Ag 2.92, 6 Li 3.02-3.14, 4 Hg 3.04-3.17
Ag 0.0000 0.6667 0.3333  6 Li 2.77, 3 Hg 2.92, 2 Ag 3.04
Ag 0.0000 0.3333 0.6667  6 Li 2.77, 3 Hg 2.92, 2 Ag 3.04
Li 0.5000 0.6051 0.0000  4 Ag 2.77, 4 Hg 3.02, 2 Li 3.04
Li 0.5000 0.0000 0.6051  4 Ag 2.77, 4 Hg 3.02, 2 Li 3.04
Li 0.5000 0.3949 0.3949  4 Ag 2.77, 4 Hg 3.02, 2 Li 3.04


8.
Crystalline TaIn2Au at its relaxed geometry, computed with PBE.

formation energy = 0.123 eV/atom
energy = -20.11 eV/cell
DOS at the Fermi energy = 3.42 states/eV/cell
spin magnetization = 0.00 μB per formula unit
energy above the lowest structure with this stoichiometry = 53 meV/atom

Cell: 9.8709 9.8709 9.8709 Å, 18.36 18.36 18.36°
Last column: nearest neighbours and their distance in Å.
Fractional coordinates of all 4 atoms:
Au 0.7537 0.7537 0.7537  3 Ta 2.85, 3 In 3.02, 6 Au 3.15
Ta 0.4958 0.4958 0.4958  3 Au 2.85, 3 In 3.04, 6 Ta 3.15
In 0.0044 0.0044 0.0044  3 Au 3.02, 9 In 3.15-3.23
In 0.2461 0.2461 0.2461  3 Ta 3.04, 9 In 3.15-3.23


9.
Crystalline MnTlCl at its relaxed geometry, computed with PBE.

energy = -13.68 eV/cell
formation energy from raw total energies = -98.2 meV/atom
DOS at the Fermi energy = 2.11 states/eV/cell
spin magnetization = 4.58 μB per formula unit
energy above the lowest structure with this stoichiometry = 67 meV/atom

Cell: 8.2355 7.9221 3.3858 Å, 83.15 72.76 24.09°
Last column: nearest neighbours and their distance in Å.
Fractional coordinates of all 3 atoms:
Cl 0.9549 0.9549 0.0451  2 Mn 2.40
Tl 0.6935 0.6935 0.3065  2 Mn 3.03, 4 Tl 3.39
Mn 0.3517 0.3517 0.6483  2 Cl 2.40


10.
Crystalline Mn3NbB at its relaxed geometry, computed with PBE.

formation energy = 2.157 eV/atom
energy = -33.47 eV/cell
DOS at the Fermi energy = 2.64 states/eV/cell
spin magnetization = 8.72 μB per formula unit
energy above the lowest structure with this stoichiometry = 2213 meV/atom

Cell: 4.6677 4.6677 4.6677 Å, 90.00 90.00 90.00°
Last column: nearest neighbours and their distance in Å.
Fractional coordinates of all 5 atoms:
B 0.5000 0.5000 0.5000  12 Mn 3.30
Mn 0.0000 0.0000 0.5000  2 Nb 2.33
Mn 0.0000 0.5000 0.0000  2 Nb 2.33
Mn 0.5000 0.0000 0.0000  2 Nb 2.33
Nb 0.0000 0.0000 0.0000  6 Mn 2.33


11.
Crystalline BeBTe2 at its relaxed geometry, computed with PBE.

energy = -13.84 eV/cell
formation energy from raw total energies = 712.5 meV/atom
DOS at the Fermi energy = 1.68 states/eV/cell
spin magnetization = 0.00 μB per formula unit
energy above the lowest structure with this stoichiometry = 308 meV/atom

Cell: 7.2641 7.2641 7.2641 Å, 32.13 32.13 32.13°
Last column: nearest neighbours and their distance in Å.
Fractional coordinates of all 4 atoms:
Te 0.8999 0.8999 0.8999  1 B 2.07
Te 0.1001 0.1001 0.1001  1 B 2.07
B 0.0000 0.0000 0.0000  2 Te 2.07
Be 0.5000 0.5000 0.5000  6 Te 2.70


12.
Crystalline Tm12Cu5Bi at its relaxed geometry, computed with PBE.

formation energy = -0.246 eV/atom
energy = -82.46 eV/cell
DOS at the Fermi energy = 13.53 states/eV/cell
spin magnetization = 0.00 μB per formula unit

Cell: 8.3552 8.3552 8.3552 Å, 105.19 112.33 110.98°
Last column: nearest neighbours and their distance in Å.
Fractional coordinates of all 18 atoms:
Tm 0.5425 0.8208 0.7217  4 Cu 2.93-3.10
Tm 0.6924 0.6830 0.3754  3 Cu 2.69-2.92
Tm 0.4575 0.1792 0.2783  4 Cu 2.93-3.10
Tm 0.3076 0.6830 0.9907  3 Cu 2.69-2.92
Tm 0.1936 0.9698 0.7762  2 Cu 2.75-2.92
Tm 0.1936 0.4174 0.2238  2 Cu 2.75-2.92
Tm 0.8064 0.5826 0.7762  2 Cu 2.75-2.92
Tm 0.9010 0.1792 0.7217  4 Cu 2.93-3.10
Tm 0.6924 0.3170 0.0093  3 Cu 2.69-2.92
Tm 0.3076 0.3170 0.6246  3 Cu 2.69-2.92
Tm 0.0990 0.8208 0.2783  4 Cu 2.93-3.10
Tm 0.8064 0.0302 0.2238  2 Cu 2.75-2.92
Cu 0.5000 0.1194 0.6194  1 Cu 2.42, 2 Tm 2.69
Cu 0.5000 0.8806 0.3806  1 Cu 2.42, 2 Tm 2.69
Cu 0.0000 0.0000 0.0000  8 Tm 2.92-3.10
Cu 0.6436 0.6436 0.0000  1 Cu 2.72, 6 Tm 2.75-2.92
Cu 0.3564 0.3564 0.0000  1 Cu 2.72, 6 Tm 2.75-2.92
Bi 0.0000 0.5000 0.5000  12 Tm 3.35-3.67